Record 1
Compound: TcBiMo2
Source: the Alexandria database
Functional: PBE-GGA
Structure: relaxed

Calculated values
VASP energy	-7.98	eV per atom
formation energy from the elements	3.987	eV per formula unit
N(E_F)	8.01	states/eV/cell
space-group type	I-42d

Structure (POSCAR):
```
TcBiMo2
1.0
3.955 0.000 0.000
0.000 3.955 0.000
1.977 1.977 9.736
Mo Bi Tc
4 2 2
Cartesian
2.830 0.989 2.434
1.125 2.966 2.434
2.966 3.102 7.302
4.944 4.807 7.302
0.000 0.000 0.000
3.955 1.977 4.868
1.977 1.977 0.000
1.977 3.955 4.868
```



Record 2
Compound: Pm3Sm4Dy5
Source: the Alexandria database
Functional: PBE-GGA
Structure: relaxed

Calculated values
VASP energy	-4.46	eV per atom
formation energy from the elements	2.650	eV per formula unit
N(E_F)	18.97	states/eV/cell
space-group type	C2/m
E above lowest polymorph	0.2067	eV/atom

Structure (POSCAR):
```
Pm3Sm4Dy5
1.0
-1.272 5.511 1.893
-7.253 -0.032 4.613
7.054 2.748 6.137
Pm Sm Dy
3 4 5
Cartesian
-3.751 3.595 5.805
-0.100 1.358 5.375
2.279 4.632 6.838
-2.311 4.890 3.001
3.857 2.635 4.318
-5.329 5.592 8.325
0.840 3.337 9.642
-2.007 5.620 10.475
-0.736 4.113 6.322
-2.796 1.482 3.203
1.325 6.745 9.440
0.535 2.606 2.168
```



Record 3
Compound: TmBi2Ir
Source: the Alexandria database
Functional: PBE-GGA
Structure: relaxed

Calculated values
VASP energy	-5.10	eV per atom
formation energy from the elements	0.679	eV per formula unit
N(E_F)	2.07	states/eV/cell
space-group type	R-3m

Structure (POSCAR):
```
TmBi2Ir
1.0
3.647 0.000 0.000
1.823 3.158 0.000
1.823 1.053 9.914
Ir Tm Bi
1 1 2
Cartesian
3.647 2.105 4.957
0.000 0.000 0.000
1.823 1.053 6.761
5.470 3.158 3.152
```



Record 4
Compound: KCuIr
Source: the Alexandria database
Functional: PBE-GGA
Structure: relaxed

Calculated values
VASP energy	-4.04	eV per atom
formation energy from the elements	1.948	eV per formula unit
N(E_F)	1.59	states/eV/cell
space-group type	I4mm
E above lowest polymorph	0.2424	eV/atom

Structure (POSCAR):
```
KCuIr
1.0
-5.693 4.630 -0.292
-7.026 2.098 -0.411
-0.678 0.227 2.773
Cu Ir K
1 1 1
Cartesian
-1.043 0.424 2.667
-8.406 4.399 0.542
-4.626 2.358 1.633
```



Record 5
Compound: Pm6AlCo
Source: the Alexandria database
Functional: PBE-GGA
Structure: relaxed

Calculated values
VASP energy	-4.88	eV per atom
formation energy from the elements	0.296	eV per formula unit
N(E_F)	10.81	states/eV/cell
space-group type	C2/m

Structure (POSCAR):
```
Pm6AlCo
1.0
-1.440 -3.861 -4.900
3.722 -6.631 1.668
-2.260 -4.992 3.366
Pm Al Co
6 1 1
Cartesian
-0.491 -9.817 -0.785
-1.285 -6.068 -2.274
1.307 -9.415 2.408
0.513 -5.666 0.919
1.988 -7.674 -1.845
0.294 -2.818 -1.388
0.000 0.000 0.000
1.141 -5.246 -1.616
```